6
Lattice="4.244 0.000 0.000 -2.122 3.676 0.000 0.000 0.000 7.049" Properties=species:S:1:pos:R:3 comment="ErLuCu2Ge2 (GGA-PBE, relaxed)" total_energy_ev_per_cell=-29.8 pbc="T T T"
Er 0.000 0.000 0.000
Lu 0.000 0.000 3.528
Cu 0.000 2.451 1.560
Cu 2.122 1.225 4.954
Ge 0.000 2.451 5.454
Ge 2.122 1.225 1.977

12
Lattice="6.912 0.000 0.000 0.000 6.912 0.000 0.000 0.000 6.912" Properties=species:S:1:pos:R:3 comment="AcAlPd (GGA-PBE, relaxed)" e_above_lowest_polymorph_ev_per_atom=0.000 total_energy_ev_per_cell=-57.6 pbc="T T T"
Ac 0.000 0.000 0.000
Ac 0.000 3.456 3.456
Ac 3.456 0.000 3.456
Ac 3.456 3.456 0.000
Al 0.000 0.000 3.456
Al 0.000 3.456 0.000
Al 3.456 0.000 0.000
Al 3.456 3.456 3.456
Pd 1.728 1.728 1.728
Pd 1.728 5.184 5.184
Pd 5.184 1.728 5.184
Pd 5.184 5.184 1.728

16
Lattice="6.399 0.000 0.000 0.000 6.399 0.000 0.000 0.000 6.399" Properties=species:S:1:pos:R:3 comment="TlIr2Os (GGA-PBE, relaxed)" total_energy_ev_per_cell=-111.3 pbc="T T T"
Tl 0.000 0.000 0.000
Tl 0.000 3.200 3.200
Tl 3.200 0.000 3.200
Tl 3.200 3.200 0.000
Ir 0.000 0.000 3.200
Ir 0.000 3.200 0.000
Ir 1.600 1.600 4.800
Ir 1.600 4.800 1.600
Ir 3.200 0.000 0.000
Ir 3.200 3.200 3.200
Ir 4.800 1.600 1.600
Ir 4.800 4.800 4.800
Os 1.600 1.600 1.600
Os 1.600 4.800 4.800
Os 4.800 1.600 4.800
Os 4.800 4.800 1.600

24
Lattice="10.628 0.000 0.000 0.000 4.044 0.000 0.000 0.000 13.586" Properties=species:S:1:pos:R:3 comment="TmSnAuSe3 (GGA-PBE, relaxed)" e_above_lowest_polymorph_ev_per_atom=0.071 total_energy_ev_per_cell=-109.2 pbc="T T T"
Tm 0.189 1.011 3.326
Tm 5.125 3.033 10.119
Tm 5.503 1.011 3.466
Tm 10.439 3.033 10.259
Sn 2.416 3.033 7.022
Sn 2.898 1.011 0.229
Sn 7.730 3.033 13.356
Sn 8.212 1.011 6.563
Au 2.570 1.011 9.695
Au 2.744 3.033 2.902
Au 7.884 1.011 10.683
Au 8.058 3.033 3.890
Se 0.342 1.011 8.282
Se 0.695 3.033 1.357
Se 2.476 3.033 11.474
Se 2.838 1.011 4.682
Se 4.619 1.011 8.149
Se 4.972 3.033 1.489
Se 5.656 1.011 12.096
Se 6.009 3.033 5.436
Se 7.790 3.033 8.904
Se 8.152 1.011 2.111
Se 9.933 1.011 12.229
Se 10.286 3.033 5.304